(1)
A plane-wave DFT calculation with GGA-PBE was carried out for crystalline ScBe2Mo at its relaxed geometry.

POSCAR file:
```
ScBe2Mo
1.0
-5.042 5.864 -2.767
-4.131 4.756 -5.271
-6.331 3.528 -3.865
Be Mo Sc
2 1 1
Cartesian
-3.986 3.637 -3.060
-15.307 13.968 -11.751
-7.935 7.241 -6.092
-11.533 10.524 -8.854
```

Summary:
**Volume**: 14.49 Å³ per atom
**D(E_F)**: 1.02 states/eV/f.u.
**ΔH_f (0 K)**: 0.49 eV per atom
**Symmetry**: R3m

(2)
A plane-wave DFT calculation with GGA-PBE was carried out for crystalline Pr3HfTl3Te8 at its relaxed geometry.

POSCAR file:
```
Pr3HfTl3Te8
1.0
8.975 0.000 0.000
-4.488 7.770 -0.030
0.000 -5.148 8.303
Pr Te Tl Hf
3 8 3 1
Cartesian
2.244 1.311 4.136
4.487 -2.574 4.151
-2.244 1.311 4.136
2.421 4.010 5.857
2.067 -1.388 2.415
4.487 0.023 5.997
0.000 2.599 2.275
-2.421 4.010 5.857
6.908 -1.388 2.415
4.487 2.803 2.398
0.000 -0.181 5.874
2.244 3.885 -0.015
-2.244 3.885 -0.015
0.000 0.000 0.000
0.000 -2.574 4.151
```

Summary:
**Volume**: 38.51 Å³ per atom
**D(E_F)**: 0.07 states/eV/f.u.
**Symmetry**: R-3m
**Total DFT energy (no corrections)**: -71.6 eV/cell

(3)
A plane-wave DFT calculation with GGA-PBE was carried out for crystalline ScCd2Os at its relaxed geometry.

POSCAR file:
```
ScCd2Os
1.0
-0.289 -0.607 -2.884
-0.066 -2.507 1.576
-9.356 0.739 0.781
Cd Os Sc
2 1 1
Cartesian
-2.703 -1.358 -0.443
-9.311 0.735 0.778
-4.816 0.380 0.402
-6.914 -1.025 -0.092
```

Summary:
**Volume**: 19.40 Å³ per atom
**D(E_F)**: 2.79 states/eV/f.u.
**ΔH_f (0 K)**: 0.10 eV per atom
**Symmetry**: Cmm2

(4)
A plane-wave DFT calculation with GGA-PBE was carried out for crystalline TbSm4Ho10 at its relaxed geometry.

POSCAR file:
```
TbSm4Ho10
1.0
-2.705 -6.035 3.922
-4.854 -6.135 -5.252
5.899 -7.341 0.309
Tb Ho Sm
1 10 4
Cartesian
0.000 0.000 0.000
-1.506 -11.264 0.470
1.141 -3.106 -0.241
-2.801 -16.405 -0.780
-1.442 -13.374 -2.750
-5.112 -10.171 -0.318
3.452 -9.340 -0.703
-0.217 -6.137 1.728
2.094 -12.371 1.266
-3.753 -7.140 -2.288
-0.154 -8.247 -1.491
-0.348 -14.388 0.230
0.952 -9.249 1.498
-1.312 -5.123 -1.251
-2.611 -10.262 -2.519
```

Summary:
**Volume**: 37.93 Å³ per atom
**D(E_F)**: 20.53 states/eV/f.u.
**ΔH_f (0 K)**: 0.75 eV per atom
**Symmetry**: I4/m

(5)
A plane-wave DFT calculation with GGA-PBE was carried out for crystalline PuTi2Rh at its relaxed geometry.

POSCAR file:
```
PuTi2Rh
1.0
3.025 0.000 0.000
0.000 4.715 0.000
0.000 0.000 4.715
Rh Pu Ti
1 1 2
Cartesian
1.513 2.357 2.357
1.513 0.000 0.000
0.000 2.357 0.000
0.000 0.000 2.357
```

Summary:
**Volume**: 16.81 Å³ per atom
**D(E_F)**: 6.32 states/eV/f.u.
**ΔH_f (0 K)**: -0.23 eV per atom
**Symmetry**: P4/mmm

(6)
A plane-wave DFT calculation with GGA-PBE was carried out for crystalline HgGeC2O at its relaxed geometry.

POSCAR file:
```
HgGeC2O
1.0
3.674 0.000 0.000
0.000 7.703 0.000
0.000 0.000 3.674
O C Ge Hg
1 2 1 1
Cartesian
1.837 3.852 1.837
0.000 0.000 1.837
1.837 0.000 0.000
0.000 0.000 0.000
0.000 3.852 0.000
```

Summary:
**Volume**: 20.80 Å³ per atom
**D(E_F)**: 2.53 states/eV/f.u.
**Symmetry**: P4/mmm
**Total DFT energy (no corrections)**: -18.2 eV/cell